Material: CoI2O2
Method: DFT, PBE+U
State: relaxed

Values from the calculation:
space-group type	P4/mmm, No. 123
total moment	2.06	μB per cell
DFT total energy	-3.421	eV/atom

a b c (Å): 4.0302 4.0302 8.3499
angles (deg): 90.00 90.00 90.00
Positions (direct):
I 0.0000 0.0000 0.0000
I 0.0000 0.0000 0.5000
Co 0.5000 0.5000 0.5000
O 0.0000 0.5000 0.0000
O 0.5000 0.0000 0.0000